First-principles (GGA+U) data for crystalline Mg3FeO4 at its relaxed geometry, as listed in Alexandria via LeMat-Bulk.

Lattice parameters (Å, degrees): 6.031 6.076 8.643 90.00 90.00 90.00
Space group Fmmm (No. 69)
One atom of each set of equivalent atoms:
Mg 0.000 0.000 0.000
Mg 0.250 0.250 0.250
Fe 0.000 0.000 0.500
O 0.000 0.000 0.242
O 0.250 0.250 0.000

Calculated values
- Density of states at the Fermi level: 0.00 states/eV/cell
- Energy: -49.18 eV/f.u.